This record from Alexandria describes a relaxed structure of YSbSe. The functional is PBE.

Calculated values
Crystal system: cubic
Density of states at the Fermi level: 3.7 states/eV/f.u.
Raw total energy: -0.3931 Ry/atom

Cell lengths 7.125, 7.125, 7.125 Å; angles 90.00, 90.00, 90.00 degrees
Space group F-43m (No. 216)
Inequivalent atoms, fractional coordinates:
Y 0.000 0.000 0.000 x4
Sb 0.250 0.250 0.750 x4
Se 0.250 0.250 0.250 x4



This record from Alexandria describes a relaxed structure of MnCu2W. The functional is PBE.

Calculated values
Crystal system: monoclinic
Density of states at the Fermi level: 3.5 states/eV/f.u.
Energy above the lowest structure with this stoichiometry: 118 meV/atom

Cell lengths 5.056, 7.981, 2.636 Å; angles 90.00, 90.64, 90.00 degrees
Space group C2/m (No. 12)
Inequivalent atoms, fractional coordinates:
Mn 0.000 0.000 0.000 x2
Cu 0.250 0.250 0.500 x4
W 0.000 0.500 0.000 x2



This record from Alexandria describes a relaxed structure of AcCeGaBi. The functional is PBE.

Calculated values
Crystal system: cubic
Density of states at the Fermi level: 9.5 states/eV/f.u.
Raw total energy: -0.3434 Ry/atom

Cell lengths 7.918, 7.918, 7.918 Å; angles 90.00, 90.00, 90.00 degrees
Space group F-43m (No. 216)
Inequivalent atoms, fractional coordinates:
Ac 0.000 0.000 0.000 x4
Ce 0.000 0.000 0.500 x4
Ga 0.250 0.250 0.250 x4
Bi 0.250 0.250 0.750 x4



This record from Alexandria describes a relaxed structure of SiMo3Br. The functional is PBE.

Calculated values
Crystal system: cubic
Density of states at the Fermi level: 7.1 states/eV/f.u.
Energy above the lowest structure with this stoichiometry: 0 meV/atom

Cell lengths 4.598, 4.598, 4.598 Å; angles 90.00, 90.00, 90.00 degrees
Space group Pm-3m (No. 221)
Inequivalent atoms, fractional coordinates:
Si 0.000 0.000 0.000 x1
Mo 0.000 0.000 0.500 x3
Br 0.500 0.500 0.500 x1



This record from Alexandria describes a relaxed structure of PmEuTlGa. The functional is PBE.

Calculated values
Crystal system: cubic
Density of states at the Fermi level: 9.1 states/eV/f.u.
Raw total energy: -0.4051 Ry/atom

Cell lengths 7.654, 7.654, 7.654 Å; angles 90.00, 90.00, 90.00 degrees
Space group F-43m (No. 216)
Inequivalent atoms, fractional coordinates:
Pm 0.000 0.000 0.000 x4
Eu 0.000 0.000 0.500 x4
Tl 0.250 0.250 0.250 x4
Ga 0.250 0.250 0.750 x4



This record from Alexandria describes a relaxed structure of TiAgGe2W. The functional is PBE.

Calculated values
Crystal system: tetragonal
Density of states at the Fermi level: 6.8 states/eV/f.u.
Raw total energy: -0.3633 Ry/atom

Cell lengths 4.711, 4.711, 5.168 Å; angles 90.00, 90.00, 90.00 degrees
Space group P4/mmm (No. 123)
Inequivalent atoms, fractional coordinates:
Ti 0.000 0.000 0.000 x1
Ag 0.500 0.500 0.500 x1
Ge 0.000 0.500 0.500 x2
W 0.500 0.500 0.000 x1



This record from Alexandria describes a relaxed structure of ErMnSi2Mo. The functional is PBE.

Calculated values
Crystal system: tetragonal
Density of states at the Fermi level: 3.2 states/eV/f.u.
Raw total energy: -0.5595 Ry/atom

Cell lengths 3.927, 3.927, 10.876 Å; angles 90.00, 90.00, 90.00 degrees
Space group I-4m2 (No. 119)
Inequivalent atoms, fractional coordinates:
Er 0.000 0.000 0.000 x2
Mn 0.000 0.500 0.250 x2
Si 0.000 0.000 0.390 x4
Mo 0.000 0.500 0.750 x2



This record from Alexandria describes a relaxed structure of Ac4GaGe4. The functional is PBE.

Calculated values
Crystal system: tetragonal
Density of states at the Fermi level: 6.6 states/eV/f.u.
Raw total energy: -0.3573 Ry/atom

Cell lengths 9.261, 9.261, 6.643 Å; angles 90.00, 90.00, 90.00 degrees
Space group P4_2/nmc (No. 137, origin choice 2)
Inequivalent atoms, fractional coordinates:
Ac 0.014 0.250 0.045 x8
Ga 0.250 0.750 0.250 x2
Ge 0.013 0.750 0.466 x8



This record from Alexandria describes a relaxed structure of AlReHg. The functional is PBE.

Calculated values
Crystal system: orthorhombic
Density of states at the Fermi level: 1.8 states/eV/f.u.
Energy above the lowest structure with this stoichiometry: 52 meV/atom

Cell lengths 2.768, 3.985, 9.579 Å; angles 90.00, 90.00, 90.00 degrees
Space group Imm2 (No. 44)
Inequivalent atoms, fractional coordinates:
Al 0.000 0.000 0.000 x2
Re 0.000 0.000 0.396 x2
Hg 0.000 0.000 0.701 x2



This record from Alexandria describes a relaxed structure of Pr5Dy3Tm12. The functional is PBE.

Calculated values
Crystal system: cubic
Density of states at the Fermi level: 34.8 states/eV/f.u.
Raw total energy: -0.2610 Ry/atom

Cell lengths 18.656, 18.656, 18.656 Å; angles 90.00, 90.00, 90.00 degrees
Space group Ia-3d (No. 230)
Inequivalent atoms, fractional coordinates:
Pr 0.000 0.000 0.000 x16
Pr 0.000 0.250 0.375 x24
Dy 0.000 0.250 0.125 x24
Tm 0.004 0.080 0.648 x96



This record from Alexandria describes a relaxed structure of TiCd2RhO6. The functional is PBE.

Calculated values
Crystal system: monoclinic
Density of states at the Fermi level: 5.2 states/eV/f.u.
Raw total energy: -0.4530 Ry/atom

Cell lengths 5.414, 5.487, 9.432 Å; angles 90.00, 124.91, 90.00 degrees
Space group P2_1/c (No. 14)
Inequivalent atoms, fractional coordinates:
Ti 0.000 0.000 0.000 x2
Cd 0.240 0.042 0.749 x4
Rh 0.500 0.000 0.500 x2
O 0.146 0.205 0.449 x4
O 0.248 0.700 0.451 x4
O 0.346 0.031 0.248 x4



This record from Alexandria describes a relaxed structure of ZrSbMo2. The functional is PBE.

Calculated values
Crystal system: tetragonal
Density of states at the Fermi level: 6.2 states/eV/f.u.
Raw total energy: -0.5983 Ry/atom

Cell lengths 4.057, 4.057, 20.059 Å; angles 90.00, 90.00, 90.00 degrees
Space group I-42d (No. 122)
Inequivalent atoms, fractional coordinates:
Zr 0.000 0.000 0.000 x4
Sb 0.000 0.000 0.500 x4
Mo 0.196 0.250 0.625 x8



Q: Which value of density of states at the Fermi level does entry 1 give?
A: 3.7 states/eV/f.u.